A plane-wave DFT calculation with PBE+U was carried out for Ca2InWO6 after structural relaxation.

Cell: 5.4650 5.4650 5.0820 Å, 90.00 90.00 90.00°
With the nearest neighbours (Å) after each atom.
Space group P4mm (No. 99)
Symmetry-distinct sites (fractional):
Ca (0.0000, 0.5000, 0.0000)  4 O 2.35
In (0.0000, 0.0000, 0.5826)  5 O 2.04-2.16
W (0.5000, 0.5000, 0.5931)  5 O 1.83-1.99
O (0.0000, 0.0000, 0.1815)  1 In 2.04
O (0.2607, 0.2607, 0.7370)  1 W 1.99, 1 In 2.16
O (0.5000, 0.5000, 0.2335)  1 W 1.83

Output
VASP energy ... -65.9 eV per cell